DFT (GGA+U) results for a relaxed structure of TiCoHgF2.

M_tot: 0.000 μB/atom
DFT total energy: -2.76 eV per atom

Unit cell a=4.255 b=4.255 c=5.882 alpha=90.00 beta=90.00 gamma=90.00
Space group P4/mmm (No. 123)
Unique sites:
Ti  0.000  0.000  0.000 [1 per cell]
Co  0.500  0.500  0.000 [1 per cell]
Hg  0.000  0.000  0.500 [1 per cell]
F  0.000  0.500  0.500 [2 per cell]